Computed, not measured: a relaxed TmPu3Tl4S8 crystal at the PBE level of DFT.

```
TmPu3Tl4S8
1.0
-7.2031 -3.3430 -1.6955
-1.5594 -1.0124 8.6209
1.7230 7.4850 -2.6341
Tm Pu Tl S
1 3 4 8
direct
0.0000 0.5000 0.0000 Tm
0.5000 0.5000 0.0000 Pu
0.5000 0.5000 0.5000 Pu
0.0000 0.5000 0.5000 Pu
0.5000 0.0000 0.0000 Tl
0.5000 0.0000 0.5000 Tl
0.0000 0.0000 0.0000 Tl
0.0000 0.0000 0.5000 Tl
0.2294 0.6954 0.9661 S
0.2294 0.6954 0.4588 S
0.2688 0.3063 0.5375 S
0.7367 0.6954 0.9661 S
0.2633 0.3046 0.0339 S
0.7312 0.6937 0.4625 S
0.7706 0.3046 0.5412 S
0.7706 0.3046 0.0339 S
```

## Properties
E_form (uncorrected) (eV/f.u.): -20.4
Energy (eV for the cell shown): -110.37